Compound: SmMoClO4
Source: Alexandria via LeMat-Bulk
Functional: PBE+U
Structure: optimized geometry

Values from the calculation:
Size of the total moment ... 0.0 μB/f.u.
Final energy ... -7.06 eV per atom
Volume ... 18.76 Å³ per atom

Lattice parameters (Å, degrees): 6.430 6.430 7.017 103.65 103.65 71.08
Positions (direct):
Sm 0.222 0.222 0.114
Sm 0.778 0.778 0.886
Mo 0.362 0.362 0.731
Mo 0.638 0.638 0.269
Cl 0.011 0.011 0.767
Cl 0.989 0.989 0.233
O 0.115 0.489 0.848
O 0.292 0.292 0.469
O 0.461 0.461 0.207
O 0.489 0.115 0.848
O 0.511 0.885 0.152
O 0.539 0.539 0.793
O 0.708 0.708 0.531
O 0.885 0.511 0.152